[1]
{
  "formula": "La3Y5S12",
  "functional": "PBE-GGA",
  "state": "optimized geometry",
  "rho_g_cm3": 3.760,
  "lattice": [[-4.752, 9.750, 9.154], [-8.121, 0.084, -11.640], [-0.535, -12.828, 6.050]],
  "species": ["S", "La", "S", "Y", "La", "Y", "S", "La", "S", "S", "Y", "La", "La", "S", "S", "S", "Y", "S", "Y", "S", "S", "Y", "Y", "S", "La", "La", "S", "S", "S", "Y", "S", "La", "S", "S", "S", "S", "Y", "S", "S", "Y", "Y", "S", "La", "S", "Y", "S", "Y", "S", "S", "S", "S", "Y", "S", "S", "La", "S", "La", "S", "S", "Y", "Y", "S", "S", "S", "S", "S", "S", "S", "La", "S", "S", "Y", "Y", "S", "S", "S", "Y", "S", "Y", "S"],
  "frac_coords": [[0.086, 0.911, 0.130], [0.750, 0.375, 0.125], [0.218, 0.544, 0.630], [0.625, 0.750, 0.875], [0.750, 0.875, 0.625], [0.500, 0.500, 0.500], [0.914, 0.089, 0.870], [0.375, 0.750, 0.625], [0.544, 0.218, 0.130], [0.914, 0.826, 0.544], [0.250, 0.875, 0.125], [0.125, 0.250, 0.875], [0.625, 0.250, 0.375], [0.589, 0.870, 0.414], [0.089, 0.174, 0.218], [0.370, 0.956, 0.782], [0.125, 0.750, 0.375], [0.326, 0.544, 0.414], [0.875, 0.250, 0.625], [0.282, 0.870, 0.956], [0.130, 0.411, 0.086], [0.750, 0.625, 0.375], [0.000, 0.000, 0.000], [0.870, 0.282, 0.456], [0.625, 0.375, 0.750], [0.250, 0.625, 0.875], [0.411, 0.282, 0.326], [0.911, 0.826, 0.782], [0.282, 0.411, 0.826], [0.500, 0.000, 0.500], [0.414, 0.044, 0.326], [0.250, 0.125, 0.375], [0.826, 0.914, 0.044], [0.044, 0.630, 0.718], [0.956, 0.586, 0.174], [0.130, 0.718, 0.544], [0.000, 0.500, 0.000], [0.630, 0.586, 0.911], [0.456, 0.674, 0.086], [0.125, 0.375, 0.250], [0.375, 0.250, 0.125], [0.370, 0.414, 0.089], [0.875, 0.125, 0.250], [0.589, 0.718, 0.674], [0.875, 0.625, 0.750], [0.326, 0.782, 0.411], [0.375, 0.125, 0.750], [0.089, 0.914, 0.370], [0.544, 0.326, 0.914], [0.782, 0.326, 0.911], [0.174, 0.089, 0.718], [0.625, 0.875, 0.250], [0.674, 0.218, 0.589], [0.911, 0.086, 0.630], [0.875, 0.750, 0.125], [0.826, 0.911, 0.282], [0.375, 0.625, 0.250], [0.411, 0.130, 0.586], [0.174, 0.086, 0.956], [0.000, 0.500, 0.500], [0.750, 0.125, 0.875], [0.414, 0.370, 0.589], [0.782, 0.456, 0.370], [0.586, 0.630, 0.411], [0.956, 0.370, 0.282], [0.456, 0.782, 0.870], [0.718, 0.589, 0.174], [0.086, 0.174, 0.456], [0.125, 0.875, 0.750], [0.586, 0.956, 0.674], [0.630, 0.044, 0.218], [0.500, 0.000, 0.000], [0.000, 0.000, 0.500], [0.218, 0.674, 0.089], [0.718, 0.130, 0.044], [0.870, 0.589, 0.914], [0.250, 0.375, 0.625], [0.674, 0.456, 0.586], [0.500, 0.500, 0.000], [0.044, 0.414, 0.826]]
}


[2]
{
  "formula": "K2Na2Eu4Ta2O13",
  "functional": "PBE-GGA",
  "state": "optimized geometry",
  "rho_g_cm3": 6.060,
  "lattice": [[-1.422, 2.888, 4.743], [-9.351, -6.381, 1.082], [10.831, -5.552, 3.163]],
  "species": ["O", "Na", "O", "Ta", "K", "O", "O", "Na", "O", "Na", "O", "O", "Eu", "Eu", "Eu", "O", "Eu", "K", "O", "O", "O", "K", "O", "Eu", "O", "Na", "O", "O", "O", "Eu", "K", "O", "O", "Ta", "O", "Eu", "O", "O", "O", "Ta", "Eu", "O", "Ta", "O", "O", "O"],
  "frac_coords": [[0.594, 0.625, 0.733], [0.193, 0.024, 0.317], [0.906, 0.143, 0.264], [0.380, 0.219, 0.699], [0.705, 0.632, 0.499], [0.248, 0.520, 0.998], [0.169, 0.658, 0.795], [0.807, 0.976, 0.683], [0.140, 0.125, 0.733], [0.876, 0.476, 0.683], [0.679, 0.875, 0.470], [0.406, 0.375, 0.267], [0.095, 0.175, 0.125], [0.397, 0.052, 0.875], [0.970, 0.325, 0.875], [0.374, 0.842, 0.205], [0.603, 0.948, 0.125], [0.295, 0.368, 0.501], [0.094, 0.857, 0.736], [0.860, 0.875, 0.267], [0.560, 0.863, 0.740], [0.795, 0.132, 0.499], [0.759, 0.750, 0.000], [0.478, 0.552, 0.875], [0.209, 0.625, 0.530], [0.124, 0.524, 0.317], [0.791, 0.375, 0.470], [0.626, 0.158, 0.795], [0.831, 0.342, 0.205], [0.030, 0.675, 0.125], [0.205, 0.868, 0.501], [0.821, 0.637, 0.260], [0.642, 0.357, 0.736], [0.681, 0.281, 0.301], [0.358, 0.643, 0.264], [0.905, 0.825, 0.875], [0.179, 0.363, 0.740], [0.752, 0.480, 0.002], [0.321, 0.125, 0.530], [0.620, 0.781, 0.301], [0.522, 0.448, 0.125], [0.241, 0.250, 0.000], [0.319, 0.719, 0.699], [0.750, 0.020, 0.998], [0.440, 0.137, 0.260], [0.250, 0.980, 0.002]]
}


[3]
{
  "formula": "Sm2Tl2Zn",
  "functional": "PBE-GGA",
  "state": "optimized geometry",
  "delta_e_f_mev_per_atom": -320,
  "rho_g_cm3": 9.609,
  "lattice": [[-3.063, 2.032, -2.955], [-5.499, -2.800, 0.011], [-4.116, 7.497, 5.659]],
  "species": ["Sm", "Sm", "Sm", "Tl", "Tl", "Sm", "Zn", "Tl", "Tl", "Zn"],
  "frac_coords": [[0.919, 0.261, 0.901], [0.683, 0.299, 0.335], [0.081, 0.739, 0.099], [0.348, 0.184, 0.121], [0.652, 0.816, 0.879], [0.317, 0.701, 0.665], [0.397, 0.880, 0.326], [0.088, 0.261, 0.563], [0.912, 0.739, 0.437], [0.603, 0.120, 0.674]]
}


Calculated total energy list, top to bottom, in eV per formula unit: -136.55; -193.47; -17.05
D(E_F) list, top to bottom, in states/eV per atom: 0.00; 0.66; 0.77